No. 1
{"formula": "Pm6GaAg", "functional": "PBE-GGA", "state": "optimized geometry", "lattice_angstrom": [[4.9652, 0.0034, 1.4966], [-0.4475, 4.9448, 1.4973], [-0.1914, -0.2104, 9.6366]], "species": ["Pm", "Pm", "Pm", "Pm", "Pm", "Pm", "Ag", "Ga"], "frac_coords": [[0.8942, 0.3943, 0.2115], [0.3943, 0.8942, 0.2115], [0.1058, 0.6057, 0.7885], [0.7476, 0.7476, 0.5040], [0.2524, 0.2524, 0.4960], [0.6057, 0.1058, 0.7885], [0.0000, 0.0000, 0.0000], [0.5000, 0.5000, 0.0000]], "e_form_kj_per_mol_atoms": -18.4, "total_magnetization_mub_per_cell": 0.00, "total_energy_ev_per_atom": -4.488}

=====

No. 2
{"formula": "MgHPd3", "functional": "PBE-GGA", "state": "optimized geometry", "lattice_angstrom": [[17.6993, 0.0000, -2.5362], [0.0000, 4.6414, 0.0000], [-6.3704, 0.0000, 4.1381]], "species": ["Mg", "Mg", "Mg", "Mg", "Pd", "Pd", "Pd", "Pd", "Pd", "Pd", "Pd", "Pd", "Pd", "Pd", "Pd", "Pd", "H", "H", "H", "H"], "frac_coords": [[0.4559, 0.7431, 0.6182], [0.0441, 0.2431, 0.8818], [0.5441, 0.2569, 0.3818], [0.9559, 0.7569, 0.1182], [0.7965, 0.2517, 0.6393], [0.6696, 0.2528, 0.0026], [0.9142, 0.2490, 0.2464], [0.4142, 0.2510, 0.7464], [0.1696, 0.2472, 0.5026], [0.2965, 0.2483, 0.1393], [0.0858, 0.7510, 0.7536], [0.5858, 0.7490, 0.2536], [0.7035, 0.7517, 0.8607], [0.8304, 0.7528, 0.4974], [0.2035, 0.7483, 0.3607], [0.3304, 0.7472, 0.9974], [0.1287, 0.3979, 0.6331], [0.3713, 0.8979, 0.8669], [0.6287, 0.1021, 0.1331], [0.8713, 0.6021, 0.3669]], "total_magnetization_mub_per_cell": 0.00, "total_energy_ev_per_atom": -4.505, "de_polymorph_mev_per_atom": 66}

=====

No. 3
{"formula": "PrDy4Ho2Er", "functional": "PBE-GGA", "state": "optimized geometry", "lattice_angstrom": [[9.3190, -0.0466, -1.7401], [-0.0532, 9.3189, -1.7401], [-5.8804, -5.8845, 8.2875]], "species": ["Ho", "Ho", "Ho", "Ho", "Dy", "Dy", "Dy", "Dy", "Dy", "Dy", "Dy", "Dy", "Er", "Er", "Pr", "Pr"], "frac_coords": [[0.5000, 0.0000, 0.5000], [0.5000, 0.5000, 0.0000], [0.5000, 0.0000, 0.0000], [0.0000, 0.0000, 0.5000], [0.7527, 0.7517, 0.4992], [0.7469, 0.2537, 0.0000], [0.2532, 0.7463, 0.0000], [0.2463, 0.7532, 0.5000], [0.2472, 0.2483, 0.5008], [0.2517, 0.2527, 0.9992], [0.7537, 0.2468, 0.5000], [0.7483, 0.7473, 0.0008], [0.0000, 0.5000, 0.5000], [0.0000, 0.5000, 0.0000], [0.0000, 0.0000, 0.0000], [0.5000, 0.5000, 0.5000]], "e_form_kj_per_mol_atoms": 41.9, "total_magnetization_mub_per_cell": 5.47, "total_energy_ev_per_atom": -4.179}

=====

No. 4
{"formula": "AgTeOs2", "functional": "PBE-GGA", "state": "optimized geometry", "lattice_angstrom": [[-1.9947, -4.4366, 0.0988], [2.1382, -2.3596, -3.6786], [2.0829, 2.4704, 3.6373]], "species": ["Te", "Os", "Os", "Ag"], "frac_coords": [[0.5000, 0.5000, 0.0000], [0.2500, 0.7500, 0.5000], [0.0000, 0.0000, 0.0000], [0.7500, 0.2500, 0.5000]], "total_magnetization_mub_per_cell": 0.00, "total_energy_ev_per_atom": -6.087}

=====

No. 5
{"formula": "SmDy7Th2", "functional": "PBE-GGA", "state": "optimized geometry", "lattice_angstrom": [[5.5165, 0.0000, 0.0000], [0.0000, 9.3658, -0.6504], [0.0000, -4.8059, 8.0651]], "species": ["Dy", "Dy", "Dy", "Dy", "Dy", "Dy", "Dy", "Th", "Th", "Sm"], "frac_coords": [[0.5000, 0.0651, 0.2875], [0.0000, 0.7903, 0.2096], [0.5000, 0.2875, 0.0651], [0.5000, 0.7125, 0.9349], [0.0000, 0.2097, 0.7904], [0.5000, 0.5000, 0.5000], [0.5000, 0.9349, 0.7125], [0.5000, 0.2954, 0.7046], [0.5000, 0.7046, 0.2954], [0.0000, 0.0000, 0.0000]], "e_form_kj_per_mol_atoms": 73.8, "total_magnetization_mub_per_cell": 0.00, "total_energy_ev_per_atom": -4.412, "de_polymorph_mev_per_atom": 339}

=====

No. 6
{"formula": "Ac2LaHoSe6", "functional": "PBE-GGA", "state": "optimized geometry", "lattice_angstrom": [[7.2840, 0.0000, -0.0831], [0.0000, 7.9967, 0.0000], [-0.0579, 0.0000, 10.7564]], "species": ["Ac", "Ac", "Ac", "Ac", "Se", "Se", "Se", "Se", "Se", "Se", "Se", "Se", "Se", "Se", "Se", "Se", "Ho", "Ho", "La", "La"], "frac_coords": [[0.9632, 0.0944, 0.7522], [0.5368, 0.5944, 0.7478], [0.0368, 0.9056, 0.2478], [0.4632, 0.4056, 0.2522], [0.3285, 0.6922, 0.4295], [0.3584, 0.9490, 0.7422], [0.8150, 0.8176, 0.5705], [0.1850, 0.1824, 0.4295], [0.6715, 0.3078, 0.5705], [0.6416, 0.0510, 0.2578], [0.6850, 0.3176, 0.9295], [0.1416, 0.4490, 0.7578], [0.1715, 0.1922, 0.0705], [0.8584, 0.5510, 0.2422], [0.8285, 0.8078, 0.9295], [0.3150, 0.6824, 0.0705], [0.0000, 0.5000, 0.0000], [0.5000, 0.0000, 0.5000], [0.5000, 0.0000, 0.0000], [0.0000, 0.5000, 0.5000]], "total_magnetization_mub_per_cell": 0.00, "total_energy_ev_per_atom": -5.841}

=====

No. 7
{"formula": "Te4AuSe3", "functional": "PBE-GGA", "state": "optimized geometry", "lattice_angstrom": [[-2.8121, 4.0158, -3.9630], [0.2907, -6.2762, -6.5663], [-8.2952, -3.1757, 2.6682]], "species": ["Se", "Se", "Se", "Se", "Se", "Se", "Te", "Te", "Te", "Te", "Te", "Te", "Te", "Te", "Au", "Au"], "frac_coords": [[0.0077, 0.6817, 0.8039], [0.5485, 0.0026, 0.0000], [0.5077, 0.3183, 0.6961], [0.0485, 0.9974, 0.5000], [0.0077, 0.6817, 0.1961], [0.5077, 0.3183, 0.3039], [0.1401, 0.9508, 0.0000], [0.6071, 0.6727, 0.2256], [0.1071, 0.3273, 0.7256], [0.5807, 0.2870, 0.0000], [0.0807, 0.7130, 0.5000], [0.6401, 0.0492, 0.5000], [0.1071, 0.3273, 0.2744], [0.6071, 0.6727, 0.7744], [0.0163, 0.2482, 0.0000], [0.5163, 0.7518, 0.5000]], "total_magnetization_mub_per_cell": 0.00, "total_energy_ev_per_atom": -3.165}

=====

No. 8
{"formula": "Al2ZnBr", "functional": "PBE-GGA", "state": "optimized geometry", "lattice_angstrom": [[4.9679, 0.0000, 0.0000], [2.4840, 4.3024, 0.0000], [2.4840, 1.4341, 4.0563]], "species": ["Zn", "Al", "Al", "Br"], "frac_coords": [[0.7500, 0.7500, 0.7500], [0.0000, 0.0000, 0.0000], [0.2500, 0.2500, 0.2500], [0.5000, 0.5000, 0.5000]], "total_magnetization_mub_per_cell": 0.00, "total_energy_ev_per_atom": -2.231, "de_polymorph_mev_per_atom": 313}